VASP calculation (PBE) on crystalline TlOs at its relaxed geometry.

The uncorrected energy comes out at -5.865 eV/atom. The calculation puts the formation energy at 0.9333 eV per atom. The value obtained for the polymorph energy (0 for the lowest one) is 330 meV per atom.

Lattice parameters (Å, degrees): 5.3019 5.3019 4.3229 90.00 90.00 134.22
Sites, in units of the cell vectors:
Tl (0.1563, 0.8437, 0.7500)
Tl (0.8437, 0.1563, 0.2500)
Os (0.4460, 0.5540, 0.7500)
Os (0.5540, 0.4460, 0.2500)